# CsTaCoO2F4, relaxed, DFT PBE with a Hubbard U
# E_tot: -6.615 eV per atom
# M_tot: 0.33 μB/atom
data_CsTaCoO2F4
_chemical_formula_sum 'Cs4 Ta4 Co4 O8 F16'
_space_group_name_H-M_alt 'C 1 2 1'
_space_group_IT_number 5
_cell_length_a 10.5255
_cell_length_b 10.9032
_cell_length_c 7.4990
_cell_angle_alpha 90.00
_cell_angle_beta 134.49
_cell_angle_gamma 90.00
loop_
_space_group_symop_operation_xyz
'x,y,z'
'-x,y,-z'
'x+1/2,y+1/2,z'
'-x+1/2,y+1/2,-z'
loop_
_atom_site_label
_atom_site_type_symbol
_atom_site_fract_x
_atom_site_fract_y
_atom_site_fract_z
_atom_site_occupancy
Cs1 Cs 0.0000 0.0000 0.0000 1
Cs2 Cs 0.0000 0.2432 0.5000 1
Ta1 Ta 0.0158 0.6323 0.2592 1
Co1 Co 0.2477 0.3905 0.2511 1
O1 O 0.0000 0.6049 0.5000 1
O2 O 0.0000 0.6980 0.0000 1
O3 O 0.1756 0.5118 0.3675 1
F1 F 0.0000 0.3155 0.0000 1
F2 F 0.0000 0.9572 0.5000 1
F3 F 0.1811 0.7723 0.8836 1
F4 F 0.1991 0.7619 0.4875 1
F5 F 0.2001 0.5273 0.9934 1